# Cs3CdH5, optimized geometry, DFT GGA-PBEsol
# - energy (eV per cell) = -88.9
# - density (Mg/m³) = 4.2
# - total moment (μB per atom) = 0.00
data_Cs3CdH5
_chemical_formula_sum 'Cs12 Cd4 H20'
_cell_length_a 8.133
_cell_length_b 8.133
_cell_length_c 12.419
_cell_angle_alpha 90.00
_cell_angle_beta 90.00
_cell_angle_gamma 90.00
_symmetry_space_group_name_H-M 'I 4/m c m'
_symmetry_Int_Tables_number 140
_symmetry_space_group_name_Hall '-I 4 2c'
loop_
_atom_site_label
_atom_site_type_symbol
_atom_site_fract_x
_atom_site_fract_y
_atom_site_fract_z
_atom_site_occupancy
Cs1 Cs 0.000 0.000 0.250 1
Cs2 Cs 0.179 0.321 0.000 1
Cd1 Cd 0.000 0.500 0.250 1
H1 H 0.000 0.000 0.000 1
H2 H 0.127 0.373 0.338 1

***

# Ba2CoMoO6, optimized geometry, DFT GGA-PBEsol
# - ΔE_f (raw) (meV per atom) = -2238
# - energy (eV per cell) = -310.7
# - density (Mg/m³) = 6.8
# - total moment (μB per atom) = 0.30
data_Ba2CoMoO6
_chemical_formula_sum 'Ba8 Co4 Mo4 O24'
_cell_length_a 8.010
_cell_length_b 8.010
_cell_length_c 8.010
_cell_angle_alpha 90.00
_cell_angle_beta 90.00
_cell_angle_gamma 90.00
_symmetry_space_group_name_H-M 'F m -3 m'
_symmetry_Int_Tables_number 225
_symmetry_space_group_name_Hall '-F 4 2 3'
loop_
_atom_site_label
_atom_site_type_symbol
_atom_site_fract_x
_atom_site_fract_y
_atom_site_fract_z
_atom_site_occupancy
Ba1 Ba 0.250 0.250 0.250 1
Co1 Co 0.000 0.000 0.000 1
Mo1 Mo 0.000 0.000 0.500 1
O1 O 0.000 0.000 0.259 1